# PBE-GGA SiB5Mo7, optimized geometry
# magnetization: 0.00 μB per formula unit
# formation energy from raw total energies: 4 meV per atom
# total energy: -8.81 eV/atom
data_SiB5Mo7
_space_group_name_H-M_alt 'I m m 2'
_space_group_IT_number 44
_cell_length_a 4.641
_cell_length_b 8.932
_cell_length_c 7.589
_cell_angle_alpha 90.00
_cell_angle_beta 90.00
_cell_angle_gamma 90.00
loop_
_space_group_symop_operation_xyz
'x,y,z'
'-x,-y,z'
'-x,y,z'
'x,-y,z'
'x+1/2,y+1/2,z+1/2'
'-x+1/2,-y+1/2,z+1/2'
'-x+1/2,y+1/2,z+1/2'
'x+1/2,-y+1/2,z+1/2'
loop_
_atom_site_label
_atom_site_type_symbol
_atom_site_fract_x
_atom_site_fract_y
_atom_site_fract_z
Si1 Si 0.000 0.000 0.000
B1 B 0.000 0.500 0.177
B2 B 0.191 0.270 0.688
Mo1 Mo 0.000 0.000 0.325
Mo2 Mo 0.000 0.000 0.681
Mo3 Mo 0.000 0.327 0.975
Mo4 Mo 0.000 0.331 0.386
Mo5 Mo 0.000 0.500 0.670

***

# PBE-GGA Si2BMo8, optimized geometry
# magnetization: 0.00 μB per formula unit
# formation energy from raw total energies: -71 meV per atom
# total energy: -9.54 eV/atom
data_Si2BMo8
_space_group_name_H-M_alt 'C 1 2/m 1'
_space_group_IT_number 12
_cell_length_a 14.228
_cell_length_b 4.332
_cell_length_c 5.252
_cell_angle_alpha 90.00
_cell_angle_beta 99.31
_cell_angle_gamma 90.00
loop_
_space_group_symop_operation_xyz
'x,y,z'
'-x,-y,-z'
'-x,y,-z'
'x,-y,z'
'x+1/2,y+1/2,z'
'-x+1/2,-y+1/2,-z'
'-x+1/2,y+1/2,-z'
'x+1/2,-y+1/2,z'
loop_
_atom_site_label
_atom_site_type_symbol
_atom_site_fract_x
_atom_site_fract_y
_atom_site_fract_z
Si1 Si 0.155 0.000 0.273
B1 B 0.000 0.500 0.500
Mo1 Mo 0.025 0.000 0.744
Mo2 Mo 0.090 0.500 0.013
Mo3 Mo 0.165 0.500 0.567
Mo4 Mo 0.223 0.000 0.847

***

# PBE-GGA SiB2Mo2, optimized geometry
# magnetization: 0.00 μB per formula unit
# formation energy from raw total energies: -347 meV per atom
# total energy: -8.44 eV/atom
data_SiB2Mo2
_space_group_name_H-M_alt 'P 4/m b m'
_space_group_IT_number 127
_space_group_name_Hall '-P 4 2ab'
_cell_length_a 5.768
_cell_length_b 5.768
_cell_length_c 3.188
_cell_angle_alpha 90.00
_cell_angle_beta 90.00
_cell_angle_gamma 90.00
loop_
_atom_site_label
_atom_site_type_symbol
_atom_site_fract_x
_atom_site_fract_y
_atom_site_fract_z
Si1 Si 0.000 0.000 0.000
B1 B 0.110 0.390 0.000
Mo1 Mo 0.180 0.680 0.500

***

# PBE-GGA SiBMo3, optimized geometry
# magnetization: 0.00 μB per formula unit
# formation energy from raw total energies: 223 meV per atom
# relative energy among the computed polymorphs: 197 meV/atom
# total energy: -8.70 eV/atom
data_SiBMo3
_space_group_name_H-M_alt 'P m -3 m'
_space_group_IT_number 221
_space_group_name_Hall '-P 4 2 3'
_cell_length_a 4.162
_cell_length_b 4.162
_cell_length_c 4.162
_cell_angle_alpha 90.00
_cell_angle_beta 90.00
_cell_angle_gamma 90.00
loop_
_atom_site_label
_atom_site_type_symbol
_atom_site_fract_x
_atom_site_fract_y
_atom_site_fract_z
Si1 Si 0.000 0.000 0.000
B1 B 0.500 0.500 0.500
Mo1 Mo 0.000 0.500 0.500